A relaxed La3Tb2In crystal, computed with PBE.

The space group is Pmc2_1 (No. 26) and the conventional cell measures 5.7399, 10.6813 and 6.4482 Å, with angles of 90.00, 90.00 and 90.00 degrees. The inequivalent atoms are La at (0.0000, 0.0549, 0.0000), La at (0.0000, 0.2632, 0.3941), La at (0.5000, 0.4196, 0.2419), Tb at (0.0000, 0.4060, 0.9131), Tb at (0.5000, 0.2169, 0.7625) and In at (0.5000, 0.0922, 0.2880).

The calculation puts the formation energy at -0.132 eV per atom. Its offset from the most stable computed form is 22 meV/atom. For the magnetic moment, the calculation gives 0.00 μB per cell. The calculation puts the density of states at the Fermi level at 1.3527 states/eV/atom.

***

A relaxed BaNd crystal, computed with PBE.

The space group is P4/nmm (No. 129, origin choice 2) and the conventional cell measures 3.9945, 3.9945 and 11.6097 Å, with angles of 90.00, 90.00 and 90.00 degrees. The inequivalent atoms are Ba at (0.2500, 0.2500, 0.1528) and Nd at (0.2500, 0.2500, 0.5958).

The calculation puts the formation energy at 0.119 eV per atom. Its offset from the most stable computed form is 0 meV/atom. For the magnetic moment, the calculation gives 0.00 μB per cell. The calculation puts the density of states at the Fermi level at 1.5917 states/eV/atom.

***

A relaxed NpInBi crystal, computed with PBE.

The space group is Cmme (No. 67) and the conventional cell measures 6.1914, 11.3090 and 5.8012 Å, with angles of 90.00, 90.00 and 90.00 degrees. The inequivalent atoms are Np at (0.0000, 0.0000, 0.0000), In at (0.0000, 0.2500, 0.2382) and Bi at (0.2500, 0.0000, 0.5000).

The calculation puts the formation energy at 0.424 eV per atom. Its offset from the most stable computed form is 255 meV/atom. For the magnetic moment, the calculation gives 20.38 μB per cell. The calculation puts the density of states at the Fermi level at 2.5847 states/eV/atom.

***

The highest offset from the most stable computed form belongs to which entry? NpInBi

***

Which value of formation energy does entry 1 give? -0.132 eV per atom

***

offset from the most stable computed form of number 1 (La3Tb2In)? 22 meV/atom